Record 1
This record from the Alexandria database describes crystalline La4Tb4Nd3 at its relaxed geometry. The functional is PBE.

formation energy: 13.9 kJ/mol of atoms
uncorrected energy: -4.6321 eV/atom
offset from the most stable computed form: 0.021 eV/atom

Cell lengths 10.896, 5.836, 12.142 Å; angles 90.00, 90.00, 90.00 degrees
Space group Amm2 (No. 38)
One atom of each set of equivalent atoms:
La 0.000 0.000 0.000 [2 per cell]
La 0.208 0.000 0.802 [4 per cell]
La 0.500 0.000 0.921 [2 per cell]
Tb 0.000 0.000 0.595 [2 per cell]
Tb 0.306 0.000 0.148 [4 per cell]
Tb 0.500 0.000 0.647 [2 per cell]
Nd 0.000 0.000 0.293 [2 per cell]
Nd 0.292 0.000 0.453 [4 per cell]

=====

Record 2
This record from the Alexandria database describes crystalline AcGeP at its relaxed geometry. The functional is PBE.

formation energy: -46.9 kJ/mol of atoms
uncorrected energy: -5.1978 eV/atom
offset from the most stable computed form: 0.240 eV/atom

Cell lengths 13.669, 4.320, 5.696 Å; angles 90.00, 90.00, 90.00 degrees
Space group Pnma (No. 62)
One atom of each set of equivalent atoms:
Ac 0.099 0.250 0.231 [4 per cell]
Ge 0.144 0.750 0.784 [4 per cell]
P 0.227 0.750 0.427 [4 per cell]

=====

Record 3
This record from the Alexandria database describes crystalline RbPuP2 at its relaxed geometry. The functional is PBE.

formation energy: -48.4 kJ/mol of atoms
uncorrected energy: -7.0314 eV/atom

Cell lengths 4.1844, 4.1844, 22.8519 Å; angles 90.00, 90.00, 120.00 degrees
Space group R-3m (No. 166, hexagonal axes)
One atom of each set of equivalent atoms:
Rb 0.0000 0.0000 0.0000 [3 per cell]
Pu 0.0000 0.0000 0.5000 [3 per cell]
P 0.0000 0.0000 0.2221 [6 per cell]

=====

Record 4
This record from the Alexandria database describes crystalline NbTl2PbSe at its relaxed geometry. The functional is PBE.

uncorrected energy: -3.3784 eV/atom
formation energy from raw total energies: 5.10 eV/f.u.

Cell lengths 5.807, 5.807, 5.611 Å; angles 90.00, 90.00, 90.00 degrees
Space group P4/mmm (No. 123)
One atom of each set of equivalent atoms:
Nb 0.000 0.000 0.000 [1 per cell]
Tl 0.000 0.500 0.500 [2 per cell]
Pb 0.000 0.000 0.500 [1 per cell]
Se 0.500 0.500 0.000 [1 per cell]

=====

Record 5
This record from the Alexandria database describes crystalline PmTaMnIr2 at its relaxed geometry. The functional is PBE.

formation energy: -42.5 kJ/mol of atoms
uncorrected energy: -9.1395 eV/atom

Cell lengths 4.219, 4.219, 11.106 Å; angles 90.00, 90.00, 90.00 degrees
Space group I-4m2 (No. 119)
One atom of each set of equivalent atoms:
Pm 0.000 0.000 0.000 [2 per cell]
Ta 0.000 0.500 0.750 [2 per cell]
Mn 0.000 0.500 0.250 [2 per cell]
Ir 0.000 0.000 0.384 [4 per cell]

=====

Record 6
This record from the Alexandria database describes crystalline TlReAg at its relaxed geometry. The functional is PBE.

formation energy: 100.4 kJ/mol of atoms
uncorrected energy: -4.8475 eV/atom
offset from the most stable computed form: 0.216 eV/atom

Cell lengths 2.817, 4.399, 9.000 Å; angles 90.00, 90.00, 90.00 degrees
Space group Imm2 (No. 44)
One atom of each set of equivalent atoms:
Tl 0.000 0.000 0.000 [2 per cell]
Re 0.000 0.000 0.328 [2 per cell]
Ag 0.000 0.000 0.675 [2 per cell]

=====

Record 7
This record from the Alexandria database describes crystalline Mn2NiRh at its relaxed geometry. The functional is PBE.

formation energy: 43.2 kJ/mol of atoms
uncorrected energy: -7.4206 eV/atom

Cell lengths 3.499, 3.499, 16.654 Å; angles 90.00, 90.00, 90.00 degrees
Space group I-42d (No. 122)
One atom of each set of equivalent atoms:
Mn 0.194 0.250 0.125 [8 per cell]
Ni 0.000 0.000 0.000 [4 per cell]
Rh 0.000 0.000 0.500 [4 per cell]

=====

Record 8
This record from the Alexandria database describes crystalline Rb2Tl4Bi3 at its relaxed geometry. The functional is PBE.

formation energy: -14.6 kJ/mol of atoms
uncorrected energy: -2.7119 eV/atom

Cell lengths 6.841, 19.317, 10.233 Å; angles 90.00, 90.00, 90.00 degrees
Space group Cmce (No. 64)
One atom of each set of equivalent atoms:
Rb 0.000 0.105 0.095 [8 per cell]
Tl 0.000 0.180 0.485 [8 per cell]
Tl 0.250 0.064 0.750 [8 per cell]
Bi 0.000 0.000 0.500 [4 per cell]
Bi 0.250 0.231 0.750 [8 per cell]